BaNb2Zn | PBE | optimized geometry

Results
* ΔE_f: 156 meV/atom

Cell lengths 4.6183, 4.6183, 13.0211 Å; angles 90.00, 90.00, 120.00 degrees
Space group P3m1 (No. 156)
One atom of each set of equivalent atoms:
Ba  0.0000  0.0000  0.0000 x1
Ba  0.3333  0.6667  0.6742 x1
Nb  0.0000  0.0000  0.2945 x1
Nb  0.3333  0.6667  0.3799 x1
Nb  0.6667  0.3333  0.2322 x1
Nb  0.6667  0.3333  0.4411 x1
Zn  0.0000  0.0000  0.5026 x1
Zn  0.3333  0.6667  0.1721 x1